1.
Density functional theory data (GGA-PBE) for an optimized crystal structure of YZnTc2.

```
YZnTc2
1.0
5.156 -1.668 0.000
5.156 1.668 0.000
-2.107 0.000 4.172
Y Zn Tc
1 1 2
direct
0.000 0.000 0.000
0.781 0.781 0.282
0.232 0.232 0.732
0.529 0.529 0.529
```

Output
- energy of formation from the pure elements (eV/atom) = 0.13
- uncorrected energy (eV per atom) = -6.9837

---

2.
Density functional theory data (GGA-PBE) for an optimized crystal structure of Y2ZnTc.

```
Y2ZnTc
1.0
-2.152 2.152 4.557
2.152 -2.152 4.557
2.152 2.152 -4.557
Y Zn Tc
2 1 1
direct
0.000 0.000 0.000
0.750 0.250 0.500
0.250 0.750 0.500
0.500 0.500 0.000
```

Output
- energy of formation from the pure elements (eV/atom) = 0.08
- uncorrected energy (eV per atom) = -6.0644

---

3.
Density functional theory data (GGA-PBE) for an optimized crystal structure of YZnTc2.

```
YZnTc2
1.0
2.873 -4.446 0.000
2.873 4.446 0.000
0.000 0.000 2.707
Y Zn Tc
1 1 2
direct
0.000 0.000 0.000
0.500 0.500 0.000
0.000 0.500 0.500
0.500 0.000 0.500
```

Output
- energy of formation from the pure elements (eV/atom) = 0.44
- uncorrected energy (eV per atom) = -6.6813